# 1
First-principles (PBE) data for a relaxed structure of AcTbInPd, as listed in Alexandria via LeMat-Bulk.

Computed properties:
The symmetry is F-43m (216).

a = 5.4132 Å, b = 5.4132 Å, c = 5.4132 Å
α = 60.00°, β = 60.00°, γ = 60.00°
Closest atoms and distances in Å follow each position.
Positions (direct):
Pd  0.5000  0.5000  0.5000  4 Tb 3.31, 4 Ac 3.31
In  0.0000  0.0000  0.0000  4 Ac 3.31, 4 Tb 3.31
Tb  0.7500  0.7500  0.7500  4 In 3.31, 4 Pd 3.31
Ac  0.2500  0.2500  0.2500  4 Pd 3.31, 4 In 3.31



# 2
First-principles (PBE) data for a relaxed structure of Ac2TiInPd6, as listed in Alexandria via LeMat-Bulk.

Computed properties:
The symmetry is R-3m (166).

a = 8.7664 Å, b = 5.9494 Å, c = 8.7675 Å
α = 70.19°, β = 39.67°, γ = 90.02°
Closest atoms and distances in Å follow each position.
Positions (direct):
Pd  0.2544  0.2367  0.0178  1 Ti 2.54, 1 In 2.77
Pd  0.2543  0.7448  0.0176  1 Ti 2.54, 1 In 2.77
Pd  0.7457  0.2552  0.9824  1 Ti 2.54, 1 In 2.77
Pd  0.2376  0.2551  0.4906  1 Ti 2.54, 1 In 2.77
Pd  0.7456  0.7633  0.9822  1 Ti 2.54, 1 In 2.77
Pd  0.7624  0.7449  0.5094  1 Ti 2.54, 1 In 2.77
In  0.0000  0.0000  0.0000  6 Pd 2.77
Ti  0.5000  0.5000  0.0000  6 Pd 2.54
Ac  0.2185  0.7821  0.4363  6 Pd 3.03
Ac  0.7815  0.2179  0.5637  6 Pd 3.03



# 3
First-principles (PBE) data for a relaxed structure of Ac2TlInPd6, as listed in Alexandria via LeMat-Bulk.

Computed properties:
The symmetry is Fm-3m (225).

a = 7.1505 Å, b = 7.1504 Å, c = 7.1505 Å
α = 60.00°, β = 60.00°, γ = 90.00°
Closest atoms and distances in Å follow each position.
Positions (direct):
Ac  0.2500  0.7500  0.5000  12 Pd 3.58
Ac  0.7500  0.2500  0.5000  12 Pd 3.58
Tl  0.5000  0.5000  0.0000  6 Pd 2.56
Pd  0.2473  0.2473  0.0000  1 In 2.50, 1 Tl 2.56
Pd  0.7527  0.7527  0.4945  1 In 2.50, 1 Tl 2.56
Pd  0.2473  0.7527  0.0000  1 In 2.50, 1 Tl 2.56
Pd  0.7527  0.7527  0.0000  1 In 2.50, 1 Tl 2.56
Pd  0.7527  0.2473  0.0000  1 In 2.50, 1 Tl 2.56
Pd  0.2473  0.2473  0.5055  1 In 2.50, 1 Tl 2.56
In  0.0000  0.0000  0.0000  6 Pd 2.50



Result set for energy of formation from the pure elements: -46.98; -48.42; -16.83 kJ per mole of atoms, one per record in the order listed.
Result set for M_tot: 0.00; 0.00; 0.00 μB/cell, one per record in the order listed.